{
  "formula": "YAgPb2",
  "functional": "PBEsol",
  "state": "relaxed",
  "n_ef_per_ev_atom": 0.706,
  "e_tot_ry_per_atom": -0.343,
  "sg": "Pmmm, No. 47",
  "vol_a3_per_cell": 98.8,
  "e_form_ev_per_atom": -0.135,
  "magmom_total_mub_per_fu": 0.00,
  "cell": [[3.396, 0.000, 0.000], [0.000, 4.281, 0.000], [0.000, 0.000, 6.795]],
  "species": ["Pb", "Pb", "Y", "Ag"],
  "fractional_positions": [[0.000, 0.000, 0.731], [0.000, 0.000, 0.269], [0.500, 0.500, 0.000], [0.500, 0.500, 0.500]]
}